DFT (PBE) results for a relaxed Ac2Ge2Te crystal.

Output
DOS at the Fermi energy = 4.42 states/eV per cell
theoretical density = 7.77 g cm⁻³
VASP energy = -25.7 eV/f.u.

The structure in CIF format:
```
data_Ac2Ge2Te
_cell_length_a 7.9267
_cell_length_b 4.5651
_cell_length_c 8.9861
_cell_angle_alpha 90.00
_cell_angle_beta 107.13
_cell_angle_gamma 90.00
_symmetry_space_group_name_H-M 'C 1 2/m 1'
_symmetry_Int_Tables_number 12
loop_
_symmetry_equiv_pos_as_xyz
'x,y,z'
'-x,-y,-z'
'-x,y,-z'
'x,-y,z'
'x+1/2,y+1/2,z'
'-x+1/2,-y+1/2,-z'
'-x+1/2,y+1/2,-z'
'x+1/2,-y+1/2,z'
loop_
_atom_site_label
_atom_site_type_symbol
_atom_site_fract_x
_atom_site_fract_y
_atom_site_fract_z
_atom_site_occupancy
Ac1 Ac 0.0823 0.0000 0.2469 1
Ge1 Ge 0.1712 0.5000 0.0132 1
Te1 Te 0.0000 0.5000 0.5000 1
```



DFT (PBE) results for a relaxed Ac4Ge2Te crystal.

Output
DOS at the Fermi energy = 30.85 states/eV per cell
theoretical density = 8.21 g cm⁻³
VASP energy = -35.0 eV/f.u.

The structure in CIF format:
```
data_Ac4Ge2Te
_cell_length_a 9.9153
_cell_length_b 9.9153
_cell_length_c 9.7160
_cell_angle_alpha 90.00
_cell_angle_beta 90.00
_cell_angle_gamma 90.00
_symmetry_space_group_name_H-M 'I -4 2 d'
_symmetry_Int_Tables_number 122
_symmetry_space_group_name_Hall 'I -4 2bw'
loop_
_atom_site_label
_atom_site_type_symbol
_atom_site_fract_x
_atom_site_fract_y
_atom_site_fract_z
_atom_site_occupancy
Ac1 Ac 0.0696 0.6769 0.4329 1
Ge1 Ge 0.1365 0.7500 0.1250 1
Te1 Te 0.0000 0.0000 0.5000 1
```



DFT (PBE) results for a relaxed Ac2GeTe4 crystal.

Output
theoretical density = 6.29 g cm⁻³
VASP energy = -32.8 eV/f.u.

The structure in CIF format:
```
data_Ac2GeTe4
_cell_length_a 15.7488
_cell_length_b 4.6765
_cell_length_c 8.4978
_cell_angle_alpha 90.00
_cell_angle_beta 118.94
_cell_angle_gamma 90.00
_symmetry_space_group_name_H-M 'C 1 2/m 1'
_symmetry_Int_Tables_number 12
loop_
_symmetry_equiv_pos_as_xyz
'x,y,z'
'-x,-y,-z'
'-x,y,-z'
'x,-y,z'
'x+1/2,y+1/2,z'
'-x+1/2,-y+1/2,-z'
'-x+1/2,y+1/2,-z'
'x+1/2,-y+1/2,z'
loop_
_atom_site_label
_atom_site_type_symbol
_atom_site_fract_x
_atom_site_fract_y
_atom_site_fract_z
_atom_site_occupancy
Ac1 Ac 0.2171 0.0000 0.2083 1
Ge1 Ge 0.0000 0.5000 0.5000 1
Te1 Te 0.1070 0.5000 0.9070 1
Te2 Te 0.1313 0.0000 0.5013 1
```



DFT (PBE) results for a relaxed Ac4GeTe3 crystal.

Output
DOS at the Fermi energy = 6.82 states/eV per cell
theoretical density = 7.61 g cm⁻³
relative energy among the computed polymorphs = 0 meV per atom
VASP energy = -41.6 eV/f.u.

The structure in CIF format:
```
data_Ac4GeTe3
_cell_length_a 9.5020
_cell_length_b 13.3627
_cell_length_c 4.6891
_cell_angle_alpha 90.00
_cell_angle_beta 90.00
_cell_angle_gamma 90.00
_symmetry_space_group_name_H-M 'C m m m'
_symmetry_Int_Tables_number 65
_symmetry_space_group_name_Hall '-C 2 2'
loop_
_atom_site_label
_atom_site_type_symbol
_atom_site_fract_x
_atom_site_fract_y
_atom_site_fract_z
_atom_site_occupancy
Ac1 Ac 0.0000 0.2375 0.0000 1
Ac2 Ac 0.2287 0.0000 0.5000 1
Ge1 Ge 0.0000 0.0000 0.0000 1
Te1 Te 0.0000 0.5000 0.0000 1
Te2 Te 0.2500 0.2500 0.5000 1
```



DFT (PBE) results for a relaxed Ac3GeTe2 crystal.

Output
DOS at the Fermi energy = 6.41 states/eV per cell
theoretical density = 7.56 g cm⁻³
relative energy among the computed polymorphs = 0 meV per atom
VASP energy = -31.3 eV/f.u.

The structure in CIF format:
```
data_Ac3GeTe2
_cell_length_a 8.2329
_cell_length_b 14.0963
_cell_length_c 8.1053
_cell_angle_alpha 90.00
_cell_angle_beta 109.57
_cell_angle_gamma 90.00
_symmetry_space_group_name_H-M 'C 1 2/c 1'
_symmetry_Int_Tables_number 15
loop_
_symmetry_equiv_pos_as_xyz
'x,y,z'
'-x,-y,-z'
'-x,y,-z+1/2'
'x,-y,z+1/2'
'x+1/2,y+1/2,z'
'-x+1/2,-y+1/2,-z'
'-x+1/2,y+1/2,-z+1/2'
'x+1/2,-y+1/2,z+1/2'
loop_
_atom_site_label
_atom_site_type_symbol
_atom_site_fract_x
_atom_site_fract_y
_atom_site_fract_z
_atom_site_occupancy
Ac1 Ac 0.2240 0.0754 0.4976 1
Ac2 Ac 0.2500 0.2500 0.0000 1
Ge1 Ge 0.0000 0.0884 0.7500 1
Te1 Te 0.0000 0.2569 0.2500 1
Te2 Te 0.0000 0.4179 0.7500 1
```



DFT (PBE) results for a relaxed Ac3GeTe crystal.

Output
DOS at the Fermi energy = 19.90 states/eV per cell
theoretical density = 6.55 g cm⁻³
VASP energy = -22.7 eV/f.u.

The structure in CIF format:
```
data_Ac3GeTe
_cell_length_a 14.8619
_cell_length_b 7.4891
_cell_length_c 9.2280
_cell_angle_alpha 90.00
_cell_angle_beta 119.60
_cell_angle_gamma 90.00
_symmetry_space_group_name_H-M 'C 1 m 1'
_symmetry_Int_Tables_number 8
loop_
_symmetry_equiv_pos_as_xyz
'x,y,z'
'x,-y,z'
'x+1/2,y+1/2,z'
'x+1/2,-y+1/2,z'
loop_
_atom_site_label
_atom_site_type_symbol
_atom_site_fract_x
_atom_site_fract_y
_atom_site_fract_z
_atom_site_occupancy
Ac1 Ac 0.0000 0.0000 0.0000 1
Ac2 Ac 0.1074 0.2437 0.4702 1
Ac3 Ac 0.2409 0.2608 0.0149 1
Ac4 Ac 0.3482 0.5000 0.4958 1
Ge1 Ge 0.2632 0.5000 0.7506 1
Ge2 Ge 0.4236 0.5000 0.2486 1
Te1 Te 0.0880 0.5000 0.1375 1
Te2 Te 0.2636 0.0000 0.3620 1
```



DFT (PBE) results for a relaxed AcGe2Te3 crystal.

Output
DOS at the Fermi energy = 1.34 states/eV per cell
theoretical density = 5.97 g cm⁻³
VASP energy = -26.2 eV/f.u.

The structure in CIF format:
```
data_AcGe2Te3
_cell_length_a 9.1780
_cell_length_b 4.4691
_cell_length_c 10.3767
_cell_angle_alpha 90.00
_cell_angle_beta 99.12
_cell_angle_gamma 90.00
_symmetry_space_group_name_H-M 'P 1 21/m 1'
_symmetry_Int_Tables_number 11
loop_
_symmetry_equiv_pos_as_xyz
'x,y,z'
'-x,-y,-z'
'-x,y+1/2,-z'
'x,-y+1/2,z'
loop_
_atom_site_label
_atom_site_type_symbol
_atom_site_fract_x
_atom_site_fract_y
_atom_site_fract_z
_atom_site_occupancy
Ac1 Ac 0.1409 0.2500 0.1839 1
Ge1 Ge 0.0060 0.7500 0.4346 1
Ge2 Ge 0.3517 0.7500 0.0455 1
Te1 Te 0.1366 0.2500 0.8622 1
Te2 Te 0.2912 0.7500 0.4018 1
Te3 Te 0.4779 0.7500 0.8273 1
```



DFT (PBE) results for a relaxed Ac6Ge3Te crystal.

Output
DOS at the Fermi energy = 36.11 states/eV per cell
theoretical density = 7.48 g cm⁻³
VASP energy = -48.1 eV/f.u.

The structure in CIF format:
```
data_Ac6Ge3Te
_cell_length_a 12.1869
_cell_length_b 15.4275
_cell_length_c 8.0605
_cell_angle_alpha 90.00
_cell_angle_beta 90.00
_cell_angle_gamma 90.00
_symmetry_space_group_name_H-M 'C m c 21'
_symmetry_Int_Tables_number 36
loop_
_symmetry_equiv_pos_as_xyz
'x,y,z'
'-x,-y,z+1/2'
'-x,y,z'
'x,-y,z+1/2'
'x+1/2,y+1/2,z'
'-x+1/2,-y+1/2,z+1/2'
'-x+1/2,y+1/2,z'
'x+1/2,-y+1/2,z+1/2'
loop_
_atom_site_label
_atom_site_type_symbol
_atom_site_fract_x
_atom_site_fract_y
_atom_site_fract_z
_atom_site_occupancy
Ac1 Ac 0.0000 0.0060 0.0000 1
Ac2 Ac 0.0000 0.2474 0.3518 1
Ac3 Ac 0.1744 0.4628 0.3880 1
Ac4 Ac 0.1844 0.2782 0.9741 1
Ge1 Ge 0.0000 0.4145 0.0948 1
Ge2 Ge 0.1770 0.1056 0.2158 1
Te1 Te 0.0000 0.1732 0.7350 1
```



DFT (PBE) results for a relaxed Ac2GeTe crystal.

Output
DOS at the Fermi energy = 2.01 states/eV per cell
theoretical density = 8.47 g cm⁻³
relative energy among the computed polymorphs = 239 meV per atom
VASP energy = -19.8 eV/f.u.

The structure in CIF format:
```
data_Ac2GeTe
_cell_length_a 3.9344
_cell_length_b 3.9344
_cell_length_c 8.2842
_cell_angle_alpha 90.00
_cell_angle_beta 90.00
_cell_angle_gamma 90.00
_symmetry_space_group_name_H-M 'P 4/m m m'
_symmetry_Int_Tables_number 123
_symmetry_space_group_name_Hall '-P 4 2'
loop_
_atom_site_label
_atom_site_type_symbol
_atom_site_fract_x
_atom_site_fract_y
_atom_site_fract_z
_atom_site_occupancy
Ac1 Ac 0.0000 0.0000 0.2336 1
Ge1 Ge 0.5000 0.5000 0.0000 1
Te1 Te 0.5000 0.5000 0.5000 1
```



DFT (PBE) results for a relaxed AcGe2Te crystal.

Output
DOS at the Fermi energy = 2.97 states/eV per cell
theoretical density = 7.56 g cm⁻³
VASP energy = -17.6 eV/f.u.

The structure in CIF format:
```
data_AcGe2Te
_cell_length_a 4.1209
_cell_length_b 4.1209
_cell_length_c 6.4691
_cell_angle_alpha 90.00
_cell_angle_beta 90.00
_cell_angle_gamma 90.00
_symmetry_space_group_name_H-M 'P 4/m m m'
_symmetry_Int_Tables_number 123
_symmetry_space_group_name_Hall '-P 4 2'
loop_
_atom_site_label
_atom_site_type_symbol
_atom_site_fract_x
_atom_site_fract_y
_atom_site_fract_z
_atom_site_occupancy
Ac1 Ac 0.0000 0.0000 0.0000 1
Ge1 Ge 0.5000 0.5000 0.3028 1
Te1 Te 0.0000 0.0000 0.5000 1
```



DFT (PBE) results for a relaxed Ac2Ge2Te5 crystal.

Output
theoretical density = 6.11 g cm⁻³
VASP energy = -40.2 eV/f.u.

The structure in CIF format:
```
data_Ac2Ge2Te5
_cell_length_a 20.3514
_cell_length_b 8.1503
_cell_length_c 8.1077
_cell_angle_alpha 90.00
_cell_angle_beta 90.00
_cell_angle_gamma 90.00
_symmetry_space_group_name_H-M 'I m a 2'
_symmetry_Int_Tables_number 46
loop_
_symmetry_equiv_pos_as_xyz
'x,y,z'
'-x,-y,z'
'-x+1/2,y,z'
'x+1/2,-y,z'
'x+1/2,y+1/2,z+1/2'
'-x+1/2,-y+1/2,z+1/2'
'-x,y+1/2,z+1/2'
'x,-y+1/2,z+1/2'
loop_
_atom_site_label
_atom_site_type_symbol
_atom_site_fract_x
_atom_site_fract_y
_atom_site_fract_z
_atom_site_occupancy
Ac1 Ac 0.1016 0.0368 0.0000 1
Ge1 Ge 0.0000 0.0000 0.4595 1
Ge2 Ge 0.2500 0.5548 0.0657 1
Te1 Te 0.0212 0.7338 0.2275 1
Te2 Te 0.1445 0.0917 0.3935 1
Te3 Te 0.2500 0.6236 0.4490 1
```